Version P
Tl8TeSe6 after structural relaxation, computed with PBE.

a = 10.028 Å, b = 11.052 Å, c = 8.930 Å
α = 90.00°, β = 90.00°, γ = 90.00°
Atoms (fractional coordinates):
1 Tl 0.000 0.141 0.000
2 Tl 0.000 0.339 0.398
3 Tl 0.199 0.049 0.438
4 Tl 0.211 0.750 0.215
5 Tl 0.212 0.508 0.962
6 Tl 0.288 0.492 0.462
7 Tl 0.289 0.250 0.715
8 Tl 0.301 0.951 0.938
9 Tl 0.500 0.661 0.898
10 Tl 0.500 0.859 0.500
11 Tl 0.699 0.951 0.938
12 Tl 0.711 0.250 0.715
13 Tl 0.712 0.492 0.462
14 Tl 0.788 0.508 0.962
15 Tl 0.789 0.750 0.215
16 Tl 0.801 0.049 0.438
17 Te 0.000 0.742 0.709
18 Te 0.500 0.258 0.209
19 Se 0.000 0.007 0.720
20 Se 0.000 0.490 0.697
21 Se 0.000 0.550 0.204
22 Se 0.000 0.947 0.216
23 Se 0.229 0.759 0.565
24 Se 0.271 0.241 0.065
25 Se 0.500 0.053 0.716
26 Se 0.500 0.450 0.704
27 Se 0.500 0.510 0.197
28 Se 0.500 0.993 0.220
29 Se 0.729 0.241 0.065
30 Se 0.771 0.759 0.565

Output
Magnetic moment: 0.00 μB/atom


Version Q
Tl8TeSe6 after structural relaxation, computed with PBE.

a = 8.151 Å, b = 8.151 Å, c = 8.151 Å
α = 103.45°, β = 103.45°, γ = 103.45°
Atoms (fractional coordinates):
1 Tl 0.173 0.663 0.291
2 Tl 0.192 0.192 0.192
3 Tl 0.291 0.173 0.663
4 Tl 0.337 0.709 0.827
5 Tl 0.663 0.291 0.173
6 Tl 0.709 0.827 0.337
7 Tl 0.808 0.808 0.808
8 Tl 0.827 0.337 0.709
9 Te 0.500 0.500 0.500
10 Se 0.038 0.802 0.615
11 Se 0.198 0.385 0.962
12 Se 0.385 0.962 0.198
13 Se 0.615 0.038 0.802
14 Se 0.802 0.615 0.038
15 Se 0.962 0.198 0.385

Output
Magnetic moment: 0.00 μB/atom


The calculated energies rank the structures as follows, beginning with the most stable: version P, version Q.


Version P
Tl3TeSe4 after structural relaxation, computed with PBE.

a = 6.377 Å, b = 6.377 Å, c = 6.377 Å
α = 98.83°, β = 98.83°, γ = 98.83°
Atoms (fractional coordinates):
1 Tl 0.027 0.487 0.487
2 Tl 0.487 0.027 0.487
3 Tl 0.487 0.487 0.027
4 Te 0.985 0.985 0.985
5 Se 0.376 0.958 0.958
6 Se 0.520 0.520 0.520
7 Se 0.958 0.376 0.958
8 Se 0.958 0.958 0.376

Output
Magnetic moment: 0.00 μB/atom


Version Q
Tl3TeSe4 after structural relaxation, computed with PBE.

a = 6.898 Å, b = 6.898 Å, c = 6.898 Å
α = 109.47°, β = 109.47°, γ = 109.47°
Atoms (fractional coordinates):
1 Tl 0.000 0.500 0.500
2 Tl 0.500 0.000 0.500
3 Tl 0.500 0.500 0.000
4 Te 0.000 0.000 0.000
5 Se 0.000 0.000 0.616
6 Se 0.000 0.616 0.000
7 Se 0.384 0.384 0.384
8 Se 0.616 0.000 0.000

Output
Magnetic moment: 0.00 μB/atom


The calculated energies rank the structures as follows, beginning with the most stable: version P, version Q.


Version P
TlTe3Se after structural relaxation, computed with PBE.

a = 5.741 Å, b = 5.741 Å, c = 5.741 Å
α = 90.00°, β = 90.00°, γ = 90.00°
Atoms (fractional coordinates):
1 Tl 0.000 0.000 0.000
2 Te 0.000 0.000 0.500
3 Te 0.000 0.500 0.000
4 Te 0.500 0.000 0.000
5 Se 0.500 0.500 0.500

Output
Magnetic moment: 0.17 μB/atom


Version Q
TlTe3Se after structural relaxation, computed with PBE.

a = 5.573 Å, b = 5.573 Å, c = 5.573 Å
α = 90.00°, β = 90.00°, γ = 90.00°
Atoms (fractional coordinates):
1 Tl 0.000 0.000 0.000
2 Te 0.000 0.500 0.500
3 Te 0.500 0.000 0.500
4 Te 0.500 0.500 0.000
5 Se 0.500 0.500 0.500

Output
Magnetic moment: 0.00 μB/atom


The calculated energies rank the structures as follows, beginning with the most stable: version Q, version P.


Version P
TmTeSe after structural relaxation, computed with PBE.

a = 7.734 Å, b = 7.734 Å, c = 7.734 Å
α = 148.86°, β = 136.42°, γ = 54.53°
Atoms (fractional coordinates):
1 Tm 0.155 0.155 0.000
2 Tm 0.845 0.845 0.000
3 Te 0.252 0.500 0.752
4 Te 0.748 0.500 0.248
5 Se 0.288 0.788 0.500
6 Se 0.712 0.212 0.500

Output
Magnetic moment: 0.00 μB/atom


Version Q
TmTeSe after structural relaxation, computed with PBE.

a = 5.877 Å, b = 5.877 Å, c = 8.155 Å
α = 102.16°, β = 102.16°, γ = 39.26°
Atoms (fractional coordinates):
1 Tm 0.058 0.058 0.311
2 Tm 0.942 0.942 0.689
3 Te 0.349 0.349 0.377
4 Te 0.651 0.651 0.623
5 Se 0.394 0.394 0.914
6 Se 0.606 0.606 0.086

Output
Magnetic moment: 0.00 μB/atom


The calculated energies rank the structures as follows, beginning with the most stable: version P, version Q.


Version P
TmTeSe after structural relaxation, computed with PBE.

a = 6.087 Å, b = 6.087 Å, c = 6.087 Å
α = 144.32°, β = 144.32°, γ = 51.34°
Atoms (fractional coordinates):
1 Tm 0.000 0.000 0.000
2 Te 0.679 0.679 0.000
3 Se 0.392 0.392 0.000

Output
Magnetic moment: 0.00 μB/atom


Version Q
TmTeSe after structural relaxation, computed with PBE.

a = 4.852 Å, b = 4.852 Å, c = 7.568 Å
α = 90.00°, β = 90.00°, γ = 90.00°
Atoms (fractional coordinates):
1 Tm 0.250 0.250 0.188
2 Tm 0.750 0.750 0.812
3 Te 0.250 0.750 0.500
4 Te 0.750 0.250 0.500
5 Se 0.250 0.750 0.000
6 Se 0.750 0.250 0.000

Output
Magnetic moment: 0.00 μB/atom


The calculated energies rank the structures as follows, beginning with the most stable: version Q, version P.


Version P
Tm5TeSe4 after structural relaxation, computed with PBE.

a = 7.113 Å, b = 7.113 Å, c = 9.976 Å
α = 118.41°, β = 118.41°, γ = 33.09°
Atoms (fractional coordinates):
1 Tm 0.000 0.000 0.000
2 Tm 0.210 0.210 0.818
3 Tm 0.385 0.385 0.606
4 Tm 0.615 0.615 0.394
5 Tm 0.790 0.790 0.182
6 Te 0.000 0.000 0.500
7 Se 0.204 0.204 0.292
8 Se 0.408 0.408 0.109
9 Se 0.592 0.592 0.891
10 Se 0.796 0.796 0.708

Output
Magnetic moment: 0.00 μB/atom


Version Q
Tm5TeSe4 after structural relaxation, computed with PBE.

a = 16.893 Å, b = 16.893 Å, c = 16.893 Å
α = 13.81°, β = 13.81°, γ = 13.81°
Atoms (fractional coordinates):
1 Tm 0.000 0.000 0.000
2 Tm 0.206 0.206 0.206
3 Tm 0.398 0.398 0.398
4 Tm 0.602 0.602 0.602
5 Tm 0.794 0.794 0.794
6 Te 0.500 0.500 0.500
7 Se 0.096 0.096 0.096
8 Se 0.301 0.301 0.301
9 Se 0.699 0.699 0.699
10 Se 0.904 0.904 0.904

Output
Magnetic moment: 0.00 μB/atom


The calculated energies rank the structures as follows, beginning with the most stable: version Q, version P.